SrMgCl2 GGA-PBE relaxed; formation energy from raw total energies = -1.4123 eV/atom; distance to the lowest polymorph of the same formula = 106 meV/atom; symmetry = No. 44; DFT total energy = -3.155 eV/atom
1.0
-1.8945 2.3109 7.6318
1.8945 -2.3109 7.6318
1.8945 2.3109 -7.6318
Sr Mg Cl
1 1 2
direct
0.0000 0.0000 0.0000
0.7746 0.2746 0.5000
0.1421 0.6421 0.5000
0.4665 0.4665 0.0000

***

ScCo2Re GGA-PBE relaxed; distance to the lowest polymorph of the same formula = 406 meV/atom; formation energy = 1.297 eV per formula unit; symmetry = No. 160; DFT total energy = -7.924 eV/atom
1.0
1.3967 0.8064 8.4358
-1.3967 0.8064 8.4358
0.0000 -1.6127 8.4358
Sc Co Re
1 2 1
direct
0.0000 0.0000 0.0000
0.4919 0.4919 0.4919
0.7479 0.7479 0.7479
0.2361 0.2361 0.2361

***

Rb5H5Rh GGA-PBE relaxed; symmetry = No. 12; DFT total energy = -2.794 eV/atom
1.0
8.1445 -2.0300 0.0000
8.1445 2.0300 0.0000
-5.5160 0.0000 10.8602
Rb H Rh
5 5 1
direct
0.0000 0.0000 0.0000
0.3451 0.3451 0.2556
0.3842 0.3842 0.6106
0.6158 0.6158 0.3894
0.6549 0.6549 0.7444
0.0151 0.0151 0.6480
0.1170 0.1170 0.5545
0.5000 0.5000 0.5000
0.8830 0.8830 0.4455
0.9849 0.9849 0.3520
0.0000 0.0000 0.5000

***

Q: Look up the DFT total energy of the third one.
A: -2.794 eV/atom

***

Q: Which value of DFT total energy does entry 3 give?
A: -2.794 eV/atom